12
Lattice="-3.5170 3.8559 -0.6571 -4.7278 -4.8540 -3.1787 -4.8642 0.3048 6.7691" Properties=species:S:1:pos:R:3 comment="SmEr5Cd6 (PBE-GGA, relaxed)" energy_ev_per_cell=-36.791 e_form_ev_per_atom=-0.31 pbc="T T T"
Cd -5.0190 -0.3824 3.5655
Cd -7.3413 -2.7666 2.0042
Cd -5.2852 -1.6930 -2.6997
Cd -8.0899 -0.3109 -0.6322
Cd -5.7677 2.0733 0.9291
Cd -2.9596 0.6948 -1.1361
Er -5.5790 2.7782 4.0554
Er -7.9626 0.3409 2.5110
Er -5.1464 -1.0342 0.4223
Er -2.8021 1.3825 2.0566
Er -2.3639 -2.4270 -1.5894
Sm 0.0000 0.0000 0.0000